Density functional theory data (GGA-PBE) for Dy2MgB2Rh5 after structural relaxation.

abc: 9.630 9.630 3.187
angles: 90.00 90.00 90.00
Space group P4/mbm (No. 127)
One atom of each set of equivalent atoms:
1 Dy 0.176 0.324 0.000 [4 per cell]
2 Mg 0.000 0.000 0.000 [2 per cell]
3 B 0.123 0.623 0.000 [4 per cell]
4 Rh 0.000 0.500 0.500 [2 per cell]
5 Rh 0.070 0.776 0.500 [8 per cell]

## Properties
- magnetic moment (μB per atom) = 0.0000
- formation energy (meV/atom) = -773
- DOS at the Fermi energy (states/eV/atom) = 0.427